(1)
The following is a DFT calculation (meta-GGA SCAN) of a crystal of SrW4 relaxed with PBEsol.

Properties
Its total energy is -56.5928 eV per atom.

Unit cell a=5.100 b=5.100 c=5.100 alpha=109.47 beta=109.47 gamma=109.47
Positions (direct):
Sr 0.000 0.000 0.000
W 0.000 0.000 0.500
W 0.000 0.500 0.000
W 0.500 0.000 0.000
W 0.500 0.500 0.500

=====

(2)
The following is a DFT calculation (meta-GGA SCAN) of a crystal of SrW3 relaxed with PBEsol.

Properties
As for the polymorph energy (0 for the lowest one): 0 meV per atom. Its total energy is -56.6013 eV per atom.

Unit cell a=10.715 b=10.715 c=10.715 alpha=15.18 beta=15.18 gamma=15.18
Positions (direct):
Sr 0.000 0.000 0.000
W 0.241 0.241 0.241
W 0.500 0.500 0.500
W 0.759 0.759 0.759

=====

(3)
The following is a DFT calculation (meta-GGA SCAN) of a crystal of Sr2YW relaxed with PBEsol.

Properties
As for the polymorph energy (0 for the lowest one): 181 meV per atom. Its total energy is -34.2851 eV per atom.

Unit cell a=6.288 b=6.288 c=3.213 alpha=90.00 beta=90.00 gamma=118.70
Positions (direct):
Sr 0.000 0.500 0.000
Sr 0.500 0.000 0.000
Y 0.000 0.000 0.500
W 0.500 0.500 0.500

=====

(4)
The following is a DFT calculation (meta-GGA SCAN) of a crystal of SrYW relaxed with PBEsol.

Properties
As for the polymorph energy (0 for the lowest one): 0 meV per atom. Its total energy is -38.9872 eV per atom.

Unit cell a=8.306 b=8.306 c=8.306 alpha=158.28 beta=158.28 gamma=30.91
Positions (direct):
Sr 0.000 0.000 0.000
Y 0.282 0.282 0.000
W 0.652 0.652 0.000

=====

(5)
The following is a DFT calculation (meta-GGA SCAN) of a crystal of Sr2YW relaxed with PBEsol.

Properties
As for the polymorph energy (0 for the lowest one): 140 meV per atom. Its total energy is -34.3259 eV per atom.

Unit cell a=3.170 b=5.282 c=6.658 alpha=90.00 beta=90.00 gamma=90.00
Positions (direct):
Sr 0.000 0.000 0.228
Sr 0.000 0.000 0.772
Y 0.500 0.500 0.500
W 0.500 0.500 0.000

=====

(6)
The following is a DFT calculation (meta-GGA SCAN) of a crystal of Sr2YW relaxed with PBEsol.

Properties
As for the polymorph energy (0 for the lowest one): 0 meV per atom. Its total energy is -34.4657 eV per atom.

Unit cell a=5.423 b=5.423 c=5.423 alpha=60.00 beta=60.00 gamma=60.00
Positions (direct):
Sr 0.000 0.000 0.000
Sr 0.250 0.250 0.250
Y 0.500 0.500 0.500
W 0.750 0.750 0.750

=====

(7)
The following is a DFT calculation (meta-GGA SCAN) of a crystal of SrYW relaxed with PBEsol.

Properties
As for the polymorph energy (0 for the lowest one): 500 meV per atom. Its total energy is -38.4871 eV per atom.

Unit cell a=5.057 b=5.057 c=5.057 alpha=60.00 beta=60.00 gamma=60.00
Positions (direct):
Sr 0.000 0.000 0.000
Y 0.500 0.500 0.500
W 0.250 0.250 0.250

=====

(8)
The following is a DFT calculation (meta-GGA SCAN) of a crystal of Sr2ZnW relaxed with PBEsol.

Properties
As for the polymorph energy (0 for the lowest one): 0 meV per atom. Its total energy is -31.2324 eV per atom.

Unit cell a=3.511 b=3.511 c=8.868 alpha=90.00 beta=90.00 gamma=90.00
Positions (direct):
Sr 0.000 0.000 0.000
Sr 0.500 0.500 0.404
Zn 0.500 0.500 0.747
W 0.000 0.000 0.656

=====

(9)
The following is a DFT calculation (meta-GGA SCAN) of a crystal of SrZnW2 relaxed with PBEsol.

Properties
As for the polymorph energy (0 for the lowest one): 0 meV per atom. Its total energy is -42.9325 eV per atom.

Unit cell a=6.119 b=6.119 c=6.119 alpha=154.37 beta=131.28 gamma=55.85
Positions (direct):
Sr 0.000 0.000 0.000
Zn 0.500 0.500 0.000
W 0.280 0.780 0.500
W 0.720 0.220 0.500

=====

(10)
The following is a DFT calculation (meta-GGA SCAN) of a crystal of SrZnW2 relaxed with PBEsol.

Properties
As for the polymorph energy (0 for the lowest one): 352 meV per atom. Its total energy is -42.5800 eV per atom.

Unit cell a=3.924 b=3.924 c=4.925 alpha=90.00 beta=90.00 gamma=90.00
Positions (direct):
Sr 0.000 0.000 0.000
Zn 0.500 0.500 0.000
W 0.000 0.500 0.500
W 0.500 0.000 0.500

=====

(11)
The following is a DFT calculation (meta-GGA SCAN) of a crystal of Sr2ZnW relaxed with PBEsol.

Properties
As for the polymorph energy (0 for the lowest one): 67 meV per atom. Its total energy is -31.1652 eV per atom.

Unit cell a=6.138 b=6.138 c=5.676 alpha=108.69 beta=108.69 gamma=29.75
Positions (direct):
Sr 0.000 0.000 0.000
Sr 0.195 0.195 0.622
Zn 0.433 0.433 0.453
W 0.768 0.768 0.176

=====

(12)
The following is a DFT calculation (meta-GGA SCAN) of a crystal of Sr2ZnW relaxed with PBEsol.

Properties
As for the polymorph energy (0 for the lowest one): 55 meV per atom. Its total energy is -31.1775 eV per atom.

Unit cell a=4.337 b=6.169 c=6.169 alpha=44.40 beta=90.00 gamma=90.00
Positions (direct):
Sr 0.000 0.000 0.000
Sr 0.500 0.289 0.289
Zn 0.500 0.587 0.587
W 0.000 0.696 0.696

=====

For reference, total magnetization by record: 0.000; 0.000; 1.066; 0.020; 0.000; 2.833; 2.436; 0.009; 0.000; 0.000; 0.000; 2.171 Bohr magnetons per cell.
For reference, E_form by record: 3.61; 1.23; 1.24; 0.95; 1.19; 1.05; 1.45; 0.71; 0.86; 1.21; 0.77; 0.76 eV/atom.